(1)
A plane-wave DFT calculation with GGA-PBE was carried out for a relaxed structure of Sr2SmEu.

## Properties
**Energy above the most stable polymorph in this dataset**: 0 meV/atom
**Formation enthalpy at 0 K**: 0.1390 eV per atom
**Calculated volume**: 45.04 Å³/atom

a b c (Å): 3.9694 3.9694 11.4352
angles (deg): 90.00 90.00 90.00
Positions (direct):
Sr 0.0000 0.0000 0.2358
Sr 0.0000 0.0000 0.7642
Sm 0.5000 0.5000 0.0000
Eu 0.5000 0.5000 0.5000

---

(2)
A plane-wave DFT calculation with GGA-PBE was carried out for a relaxed structure of MnCuI6.

## Properties
**Energy above the most stable polymorph in this dataset**: 0 meV/atom
**E_form (uncorrected)**: -135 meV/atom
**Calculated volume**: 39.94 Å³/atom

a b c (Å): 6.8524 6.8524 6.9671
angles (deg): 96.81 96.81 96.95
Positions (direct):
Mn 0.0000 0.0000 0.0000
Cu 0.0000 0.0000 0.5000
I 0.0803 0.7195 0.7140
I 0.2693 0.2693 0.8920
I 0.2805 0.9197 0.2860
I 0.7195 0.0803 0.7140
I 0.7307 0.7307 0.1080
I 0.9197 0.2805 0.2860

---

(3)
A plane-wave DFT calculation with GGA-PBE was carried out for a relaxed structure of Ce6Ir2OsI3.

## Properties
**E_form (uncorrected)**: -823 meV/atom
**Calculated volume**: 29.76 Å³/atom

a b c (Å): 7.1965 7.1965 8.3159
angles (deg): 98.29 98.29 120.00
Positions (direct):
Ce 0.0616 0.3912 0.1847
Ce 0.2681 0.2681 0.8152
Ce 0.3912 0.0616 0.1847
Ce 0.6088 0.9384 0.8153
Ce 0.7319 0.7319 0.1848
Ce 0.9384 0.6088 0.8153
Ir 0.3333 0.6667 0.0000
Ir 0.6667 0.3333 0.0000
Os 0.0000 0.0000 0.0000
I 0.1666 0.8334 0.5000
I 0.5000 0.5000 0.5000
I 0.8334 0.1666 0.5000

---

(4)
A plane-wave DFT calculation with GGA-PBE was carried out for a relaxed structure of Ho2Tl3CuSe6.

## Properties
**E_form (uncorrected)**: -894 meV/atom
**Calculated volume**: 27.21 Å³/atom

a b c (Å): 7.0493 7.0493 7.9432
angles (deg): 99.97 99.97 118.48
Positions (direct):
Ho 0.1624 0.8376 0.0000
Ho 0.8376 0.1624 0.0000
Tl 0.0000 0.0000 0.5000
Tl 0.3182 0.6818 0.5000
Tl 0.6818 0.3182 0.5000
Cu 0.5000 0.5000 0.0000
Se 0.1324 0.4358 0.8119
Se 0.2354 0.2354 0.2349
Se 0.4358 0.1324 0.8119
Se 0.5642 0.8676 0.1881
Se 0.7646 0.7646 0.7651
Se 0.8676 0.5642 0.1881